{
  "formula": "LuZnIn2",
  "functional": "PBE",
  "state": "relaxed",
  "dft_energy_ev_per_cell": -11.69,
  "magnetic_moment_mub_per_fu": 0.00,
  "space_group": "No. 216",
  "cell": [[4.912, -1.331, 0.268], [1.429, -3.882, 2.976], [1.573, -4.372, -2.094]],
  "species": ["Zn", "In", "Lu", "In"],
  "frac_coords": [[0.250, 0.250, 0.250], [0.000, 0.000, 0.000], [0.500, 0.500, 0.500], [0.750, 0.750, 0.750]]
}


{
  "formula": "LuZnIn",
  "functional": "PBE",
  "state": "relaxed",
  "dft_energy_ev_per_cell": -8.05,
  "magnetic_moment_mub_per_fu": 0.00,
  "space_group": "No. 216",
  "cell": [[-2.874, -3.368, 1.975], [-1.233, 0.306, 4.679], [-4.551, 1.121, 1.240]],
  "species": ["Lu", "In", "Zn"],
  "frac_coords": [[0.000, 0.000, 0.000], [0.250, 0.250, 0.250], [0.750, 0.750, 0.750]]
}


{
  "formula": "Lu2ZrIn",
  "functional": "PBE",
  "state": "relaxed",
  "dft_energy_ev_per_cell": -20.49,
  "magnetic_moment_mub_per_fu": 0.82,
  "space_group": "No. 216",
  "cell": [[4.869, 1.364, 1.198], [1.210, 1.286, 4.888], [2.956, -3.171, 2.866]],
  "species": ["Zr", "Lu", "Lu", "In"],
  "frac_coords": [[0.250, 0.250, 0.250], [0.750, 0.750, 0.750], [0.000, 0.000, 0.000], [0.500, 0.500, 0.500]]
}